Density functional theory data (PBE) for MgZn3F8 after structural relaxation.

Values from the calculation:
M_tot: 0.00 μB/f.u.
Electronic total energy: -102.65 eV per cell

Cell lengths 13.045, 3.945, 6.798 Å; angles 90.00, 107.16, 90.00 degrees
Space group Cm (No. 8)
One atom of each set of equivalent atoms:
Mg  0.000  0.000  0.000 x2
Zn  0.104  0.500  0.408 x2
Zn  0.203  0.500  0.992 x2
Zn  0.400  0.500  0.414 x2
F  0.032  0.500  0.048 x2
F  0.067  0.000  0.333 x2
F  0.157  0.000  0.993 x2
F  0.179  0.500  0.697 x2
F  0.237  0.500  0.314 x2
F  0.366  0.500  0.087 x2
F  0.435  0.500  0.710 x2
F  0.445  0.000  0.409 x2

***

Density functional theory data (PBE) for MgZnF2 after structural relaxation.

Values from the calculation:
Excess energy over the best structure of this formula in the dataset: 897 meV per atom
M_tot: 0.00 μB/f.u.
Electronic total energy: -50.49 eV per cell

Cell lengths 6.026, 6.026, 6.026 Å; angles 90.00, 90.00, 90.00 degrees
Space group Fm-3m (No. 225)
One atom of each set of equivalent atoms:
Mg  0.000  0.000  0.000 x4
Zn  0.000  0.000  0.500 x4
F  0.250  0.250  0.250 x8

***

Density functional theory data (PBE) for MgZnF2 after structural relaxation.

Values from the calculation:
Excess energy over the best structure of this formula in the dataset: 101 meV per atom
M_tot: 0.00 μB/f.u.
Electronic total energy: -63.21 eV per cell

Cell lengths 6.147, 6.147, 8.808 Å; angles 90.00, 90.00, 90.00 degrees
Space group I4_1/amd (No. 141, origin choice 2)
One atom of each set of equivalent atoms:
Mg  0.000  0.250  0.375 x4
Zn  0.000  0.250  0.875 x4
F  0.000  0.000  0.500 x8

***

Density functional theory data (PBE) for MgZnF2 after structural relaxation.

Values from the calculation:
Excess energy over the best structure of this formula in the dataset: 771 meV per atom
M_tot: 0.00 μB/f.u.
Electronic total energy: -39.37 eV per cell

Cell lengths 3.2785, 3.2785, 20.1293 Å; angles 90.00, 90.00, 120.00 degrees
Space group R-3m (No. 166, hexagonal axes)
One atom of each set of equivalent atoms:
Mg  0.0000  0.0000  0.0000 x3
Zn  0.0000  0.0000  0.5000 x3
F  0.0000  0.0000  0.1160 x6

***

Density functional theory data (PBE) for MgZn2F after structural relaxation.

Values from the calculation:
Excess energy over the best structure of this formula in the dataset: 357 meV per atom
M_tot: 0.00 μB/f.u.
Electronic total energy: -30.07 eV per cell

Cell lengths 6.561, 6.561, 6.561 Å; angles 90.00, 90.00, 90.00 degrees
Space group Fm-3m (No. 225)
One atom of each set of equivalent atoms:
Mg  0.000  0.000  0.000 x4
Zn  0.250  0.250  0.250 x8
F  0.000  0.000  0.500 x4

***

Density functional theory data (PBE) for MgZn2F after structural relaxation.

Values from the calculation:
Excess energy over the best structure of this formula in the dataset: 0 meV per atom
M_tot: 0.00 μB/f.u.
Electronic total energy: -35.78 eV per cell

Cell lengths 7.681, 7.681, 4.574 Å; angles 90.00, 90.00, 90.00 degrees
Space group I-42d (No. 122)
One atom of each set of equivalent atoms:
Mg  0.000  0.000  0.000 x4
Zn  0.204  0.250  0.625 x8
F  0.000  0.000  0.500 x4

***

Density functional theory data (PBE) for MgZn3F after structural relaxation.

Values from the calculation:
Excess energy over the best structure of this formula in the dataset: 361 meV per atom
M_tot: 0.00 μB/f.u.
Electronic total energy: -6.43 eV per cell

Cell lengths 5.178, 5.178, 5.178 Å; angles 90.00, 90.00, 90.00 degrees
Space group Pm-3m (No. 221)
One atom of each set of equivalent atoms:
Mg  0.000  0.000  0.000 x1
Zn  0.000  0.000  0.500 x3
F  0.500  0.500  0.500 x1

***

Density functional theory data (PBE) for MgZnF after structural relaxation.

Values from the calculation:
M_tot: 0.00 μB/f.u.
Electronic total energy: -36.74 eV per cell

Cell lengths 13.199, 3.082, 5.359 Å; angles 90.00, 90.00, 90.00 degrees
Space group Amm2 (No. 38)
One atom of each set of equivalent atoms:
Mg  0.169  0.000  0.000 x4
Zn  0.000  0.000  0.334 x2
Zn  0.500  0.000  0.227 x2
F  0.244  0.000  0.667 x4

***

Number 1: raw formation energy -2.578 eV/atom. Number 2: raw formation energy -1.503 eV/atom. Number 3: raw formation energy -2.298 eV/atom. Number 4: raw formation energy -1.628 eV/atom. Number 5: raw formation energy -0.376 eV/atom. Number 6: raw formation energy -0.733 eV/atom. Number 7: raw formation energy 0.172 eV/atom. Number 8: raw formation energy -1.482 eV/atom.